Entry 1:
VASP calculation (PBE-GGA) on ErPuZnIn after structural relaxation.

Results
total magnetization = 6.13 μB/f.u.
volume = 100 Å³/cell
energy relative to the elements = -0.2005 eV per atom

a = 5.2052 Å, b = 5.2052 Å, c = 5.2052 Å
α = 60.00°, β = 60.00°, γ = 60.00°
Atoms (fractional coordinates):
Er1 0.0000 0.0000 0.0000
Pu1 0.5000 0.5000 0.5000
Zn1 0.7500 0.7500 0.7500
In1 0.2500 0.2500 0.2500


Entry 2:
VASP calculation (PBE-GGA) on Cs2Cd5Hg3 after structural relaxation.

Results
total magnetization = 0.00 μB/f.u.
ΔE to the lowest computed polymorph = 0 meV per atom
volume = 666 Å³/cell
energy relative to the elements = -0.1197 eV per atom

a = 10.2508 Å, b = 10.2508 Å, c = 10.2508 Å
α = 106.53°, β = 88.64°, γ = 137.66°
Atoms (fractional coordinates):
Cs1 0.1272 0.2287 0.3559
Cs2 0.3728 0.7287 0.1014
Cs3 0.6272 0.2713 0.8986
Cs4 0.8728 0.7713 0.6441
Cd1 0.0349 0.7500 0.2849
Cd2 0.1422 0.9008 0.0430
Cd3 0.2500 0.7500 0.5000
Cd4 0.3578 0.4008 0.7586
Cd5 0.4651 0.7500 0.7151
Cd6 0.5349 0.2500 0.2849
Cd7 0.6422 0.5992 0.2414
Cd8 0.7500 0.2500 0.5000
Cd9 0.8578 0.0992 0.9570
Cd10 0.9651 0.2500 0.7151
Hg1 0.1123 0.6551 0.7674
Hg2 0.2500 0.2500 0.0000
Hg3 0.3877 0.1551 0.5428
Hg4 0.6123 0.8449 0.4572
Hg5 0.7500 0.7500 0.0000
Hg6 0.8877 0.3449 0.2326


Entry 3:
VASP calculation (PBE-GGA) on NdHo3In4 after structural relaxation.

Results
total magnetization = 0.13 μB/f.u.
ΔE to the lowest computed polymorph = 156 meV per atom
volume = 231 Å³/cell
energy relative to the elements = -0.3037 eV per atom

a = 10.2014 Å, b = 10.2014 Å, c = 10.2014 Å
α = 160.63°, β = 138.89°, γ = 45.82°
Atoms (fractional coordinates):
Nd1 0.0000 0.0000 0.0000
Ho1 0.2197 0.7197 0.5000
Ho2 0.5000 0.5000 0.0000
Ho3 0.7803 0.2803 0.5000
In1 0.1622 0.8715 0.2906
In2 0.4191 0.1285 0.2906
In3 0.5809 0.8715 0.7094
In4 0.8378 0.1285 0.7094


Entry 4:
VASP calculation (PBE-GGA) on Nd8Ho3Er after structural relaxation.

Results
total magnetization = 0.00 μB/f.u.
volume = 405 Å³/cell
energy relative to the elements = 0.1128 eV per atom

a = 6.9651 Å, b = 6.9651 Å, c = 9.8658 Å
α = 97.15°, β = 97.15°, γ = 119.12°
Atoms (fractional coordinates):
Nd1 0.1796 0.6820 0.6660
Nd2 0.1816 0.1816 0.1649
Nd3 0.3180 0.8204 0.3340
Nd4 0.3190 0.3190 0.8326
Nd5 0.6810 0.6810 0.1674
Nd6 0.6820 0.1796 0.6660
Nd7 0.8184 0.8184 0.8351
Nd8 0.8204 0.3180 0.3340
Ho1 0.0000 0.5000 0.0000
Ho2 0.5000 0.0000 0.0000
Ho3 0.5000 0.5000 0.5000
Er1 0.0000 0.0000 0.5000


Entry 5:
VASP calculation (PBE-GGA) on CaSiTeI2 after structural relaxation.

Results
total magnetization = 0.00 μB/f.u.
ΔE to the lowest computed polymorph = 427 meV per atom
volume = 210 Å³/cell
uncorrected formation energy = 0.080 eV/atom

a = 5.8244 Å, b = 5.8244 Å, c = 6.2039 Å
α = 90.00°, β = 90.00°, γ = 90.00°
Atoms (fractional coordinates):
Ca1 0.0000 0.0000 0.0000
Si1 0.5000 0.5000 0.5000
Te1 0.0000 0.0000 0.5000
I1 0.0000 0.5000 0.0000
I2 0.5000 0.0000 0.0000


Entry 6:
VASP calculation (PBE-GGA) on CuSn2Au after structural relaxation.

Results
total magnetization = 0.00 μB/f.u.
ΔE to the lowest computed polymorph = 119 meV per atom
volume = 84 Å³/cell
energy relative to the elements = 0.1040 eV per atom

a = 4.9197 Å, b = 4.9197 Å, c = 4.9197 Å
α = 60.00°, β = 60.00°, γ = 60.00°
Atoms (fractional coordinates):
Cu1 0.0000 0.0000 0.0000
Sn1 0.2500 0.2500 0.2500
Sn2 0.7500 0.7500 0.7500
Au1 0.5000 0.5000 0.5000


Entry 7:
VASP calculation (PBE-GGA) on Fe2HgP after structural relaxation.

Results
total magnetization = 3.32 μB/f.u.
ΔE to the lowest computed polymorph = 293 meV per atom
volume = 120 Å³/cell
energy relative to the elements = 0.3319 eV per atom

a = 5.4343 Å, b = 5.4343 Å, c = 5.4343 Å
α = 104.58°, β = 104.58°, γ = 119.77°
Atoms (fractional coordinates):
Fe1 0.0587 0.6250 0.9337
Fe2 0.3750 0.3087 0.4337
Fe3 0.6913 0.1250 0.0663
Fe4 0.8750 0.9413 0.5663
Hg1 0.2500 0.7500 0.5000
Hg2 0.5000 0.5000 0.0000
P1 0.0000 0.0000 0.0000
P2 0.7500 0.2500 0.5000


Entry 8:
VASP calculation (PBE-GGA) on SmY4Er10 after structural relaxation.

Results
total magnetization = 0.00 μB/f.u.
volume = 488 Å³/cell
energy relative to the elements = 0.3582 eV per atom

a = 8.6017 Å, b = 8.6017 Å, c = 8.6017 Å
α = 111.44°, β = 111.44°, γ = 105.60°
Atoms (fractional coordinates):
Sm1 0.0000 0.0000 0.0000
Y1 0.0707 0.6659 0.7366
Y2 0.3341 0.0707 0.4048
Y3 0.6659 0.9293 0.5952
Y4 0.9293 0.3341 0.2634
Er1 0.1261 0.2280 0.6751
Er2 0.2280 0.5529 0.1019
Er3 0.2500 0.7500 0.5000
Er4 0.4471 0.5490 0.6751
Er5 0.4510 0.1261 0.8981
Er6 0.5490 0.8739 0.1019
Er7 0.5529 0.4510 0.3249
Er8 0.7500 0.2500 0.5000
Er9 0.7720 0.4471 0.8981
Er10 0.8739 0.7720 0.3249


Entry 9:
VASP calculation (PBE-GGA) on Cs2PaSb2 after structural relaxation.

Results
total magnetization = 0.42 μB/f.u.
volume = 257 Å³/cell
uncorrected formation energy = -0.360 eV/atom

a = 4.6593 Å, b = 4.6593 Å, c = 14.0066 Å
α = 100.58°, β = 100.58°, γ = 60.02°
Atoms (fractional coordinates):
Cs1 0.0533 0.0533 0.1921
Cs2 0.9467 0.9467 0.8079
Pa1 0.5000 0.5000 0.5000
Sb1 0.2089 0.2089 0.6147
Sb2 0.7911 0.7911 0.3853


Entry 10:
VASP calculation (PBE-GGA) on ZrU2TaN4 after structural relaxation.

Results
total magnetization = 2.72 μB/f.u.
volume = 102 Å³/cell
uncorrected formation energy = -1.379 eV/atom

a = 5.6624 Å, b = 3.2844 Å, c = 5.8224 Å
α = 90.00°, β = 108.93°, γ = 90.00°
Atoms (fractional coordinates):
Zr1 0.0000 0.0000 0.0000
U1 0.0000 0.5000 0.5000
U2 0.5000 0.0000 0.5000
Ta1 0.5000 0.5000 0.0000
N1 0.2528 0.5000 0.2301
N2 0.2678 0.0000 0.7754
N3 0.7322 0.0000 0.2246
N4 0.7472 0.5000 0.7699


Entry 11:
VASP calculation (PBE-GGA) on Tb6Pm2SmEr after structural relaxation.

Results
total magnetization = 0.00 μB/f.u.
volume = 657 Å³/cell
energy relative to the elements = 0.1155 eV per atom

a = 8.8090 Å, b = 8.8090 Å, c = 9.7014 Å
α = 94.36°, β = 94.36°, γ = 118.04°
Atoms (fractional coordinates):
Tb1 0.0189 0.5720 0.1866
Tb2 0.1235 0.7453 0.5567
Tb3 0.2547 0.8765 0.9433
Tb4 0.2933 0.5054 0.3803
Tb5 0.4280 0.9811 0.3134
Tb6 0.4946 0.7067 0.1197
Tb7 0.5054 0.2933 0.8803
Tb8 0.5720 0.0189 0.6866
Tb9 0.7067 0.4946 0.6197
Tb10 0.7453 0.1235 0.0567
Tb11 0.8765 0.2547 0.4433
Tb12 0.9811 0.4280 0.8134
Pm1 0.1962 0.2986 0.0429
Pm2 0.2986 0.1962 0.5429
Pm3 0.7014 0.8038 0.4571
Pm4 0.8038 0.7014 0.9571
Sm1 0.0195 0.9805 0.2500
Sm2 0.9805 0.0195 0.7500
Er1 0.4078 0.5922 0.7500
Er2 0.5922 0.4078 0.2500


Entry 12:
VASP calculation (PBE-GGA) on La8PrSm4 after structural relaxation.

Results
total magnetization = 0.00 μB/f.u.
volume = 493 Å³/cell
energy relative to the elements = 0.3633 eV per atom

a = 7.9706 Å, b = 7.9706 Å, c = 7.9706 Å
α = 97.15°, β = 97.15°, γ = 97.15°
Atoms (fractional coordinates):
La1 0.1685 0.1685 0.6732
La2 0.1685 0.6732 0.1685
La3 0.2389 0.2389 0.2389
La4 0.3268 0.8315 0.8315
La5 0.6732 0.1685 0.1685
La6 0.7611 0.7611 0.7611
La7 0.8315 0.3268 0.8315
La8 0.8315 0.8315 0.3268
Pr1 0.5000 0.5000 0.5000
Sm1 0.0000 0.0000 0.0000
Sm2 0.0000 0.5000 0.5000
Sm3 0.5000 0.0000 0.5000
Sm4 0.5000 0.5000 0.0000